(1)
A relaxed structure of TbTmMgCr, computed with PBE.

Cell lengths 7.3099, 7.3099, 7.3099 Å; angles 90.00, 90.00, 90.00 degrees
Last column: nearest neighbours and their distance in Å.
Sites, in units of the cell vectors:
Tb  0.0000  0.0000  0.0000  4 Cr 3.17, 4 Mg 3.17
Tb  0.0000  0.5000  0.5000  4 Cr 3.17, 4 Mg 3.17
Tb  0.5000  0.0000  0.5000  4 Cr 3.17, 4 Mg 3.17
Tb  0.5000  0.5000  0.0000  4 Cr 3.17, 4 Mg 3.17
Tm  0.0000  0.0000  0.5000  4 Cr 3.17, 4 Mg 3.17
Tm  0.0000  0.5000  0.0000  4 Cr 3.17, 4 Mg 3.17
Tm  0.5000  0.0000  0.0000  4 Cr 3.17, 4 Mg 3.17
Tm  0.5000  0.5000  0.5000  4 Mg 3.17, 4 Cr 3.17
Mg  0.2500  0.2500  0.7500  4 Tb 3.17, 4 Tm 3.17
Mg  0.2500  0.7500  0.2500  4 Tb 3.17, 4 Tm 3.17
Mg  0.7500  0.2500  0.2500  4 Tb 3.17, 4 Tm 3.17
Mg  0.7500  0.7500  0.7500  4 Tm 3.17, 4 Tb 3.17
Cr  0.2500  0.2500  0.2500  4 Tb 3.17, 4 Tm 3.17
Cr  0.2500  0.7500  0.7500  4 Tb 3.17, 4 Tm 3.17
Cr  0.7500  0.2500  0.7500  4 Tb 3.17, 4 Tm 3.17
Cr  0.7500  0.7500  0.2500  4 Tb 3.17, 4 Tm 3.17

Computed properties:
Symmetry: F-43m
Calculated total energy (eV/cell): -79.077

---

(2)
A relaxed structure of V3CrRh6, computed with PBE.

Cell lengths 7.1836, 4.3063, 9.3481 Å; angles 90.00, 109.37, 90.00 degrees
Last column: nearest neighbours and their distance in Å.
Sites, in units of the cell vectors:
V  0.0828  0.2500  0.2371  8 Rh 2.56-2.79, 1 Cr 2.57, 3 V 2.74-2.85
V  0.2990  0.2500  0.0311  11 Rh 2.65-2.77, 1 V 2.85
V  0.3086  0.7500  0.3730  9 Rh 2.63-2.74, 1 Cr 2.73, 2 V 2.74
V  0.6914  0.2500  0.6270  9 Rh 2.63-2.74, 1 Cr 2.73, 2 V 2.74
V  0.7010  0.7500  0.9689  11 Rh 2.65-2.77, 1 V 2.85
V  0.9172  0.7500  0.7629  8 Rh 2.56-2.79, 1 Cr 2.57, 3 V 2.74-2.85
Cr  0.0914  0.7500  0.5635  8 Rh 2.57-2.81, 2 V 2.57-2.73, 2 Cr 2.60
Cr  0.9086  0.2500  0.4365  8 Rh 2.57-2.81, 2 V 2.57-2.73, 2 Cr 2.60
Rh  0.0876  0.2500  0.7241  4 V 2.56-2.77, 3 Cr 2.57-2.63, 5 Rh 2.68-2.78
Rh  0.1079  0.7500  0.0732  7 V 2.65-2.77, 5 Rh 2.68-2.74
Rh  0.2874  0.2500  0.5275  3 Cr 2.57-2.65, 4 V 2.62-2.74, 5 Rh 2.68-2.75
Rh  0.2973  0.7500  0.8657  4 V 2.58-2.74, 7 Rh 2.66-2.72, 1 Cr 2.72
Rh  0.4944  0.2500  0.3297  5 V 2.63-2.79, 6 Rh 2.65-2.74, 1 Cr 2.81
Rh  0.4973  0.2500  0.8331  8 Rh 2.65-2.78, 4 V 2.67-2.73
Rh  0.5027  0.7500  0.1669  8 Rh 2.65-2.78, 4 V 2.67-2.73
Rh  0.5056  0.7500  0.6703  5 V 2.63-2.79, 6 Rh 2.65-2.74, 1 Cr 2.81
Rh  0.7027  0.2500  0.1343  4 V 2.58-2.74, 7 Rh 2.66-2.72, 1 Cr 2.72
Rh  0.7126  0.7500  0.4725  3 Cr 2.57-2.65, 4 V 2.62-2.74, 5 Rh 2.68-2.75
Rh  0.8921  0.2500  0.9268  7 V 2.65-2.77, 5 Rh 2.68-2.74
Rh  0.9124  0.7500  0.2759  4 V 2.56-2.77, 3 Cr 2.57-2.63, 5 Rh 2.68-2.78

Computed properties:
Symmetry: P2_1/m
Calculated total energy (eV/cell): -168.483

---

(3)
A relaxed structure of KCe2Te4, computed with PBE.

Cell lengths 15.7024, 15.7024, 15.7024 Å; angles 16.73, 16.73, 16.73 degrees
Last column: nearest neighbours and their distance in Å.
Sites, in units of the cell vectors:
K  0.0000  0.0000  0.0000  6 Te 3.61
Ce  0.0924  0.0924  0.0924  6 Te 3.09-3.21
Ce  0.9076  0.9076  0.9076  6 Te 3.09-3.21
Te  0.2061  0.2061  0.2061  3 Ce 3.09
Te  0.3863  0.3863  0.3863  3 Ce 3.21
Te  0.6137  0.6137  0.6137  3 Ce 3.21
Te  0.7939  0.7939  0.7939  3 Ce 3.09

Computed properties:
Symmetry: R-3m
Calculated total energy (eV/cell): -34.222
Energy relative to the elements, uncorrected (eV/atom): -1.241
ΔE to the lowest computed polymorph (eV per formula unit): 0.00

---

(4)
A relaxed structure of Ga2Ni2As, computed with PBE.

Cell lengths 7.2190, 7.2190, 2.7070 Å; angles 90.00, 90.00, 90.00 degrees
Last column: nearest neighbours and their distance in Å.
Sites, in units of the cell vectors:
Ga  0.1483  0.3517  0.0000  6 Ni 2.48-2.53, 2 Ga 2.71
Ga  0.3517  0.8517  0.0000  6 Ni 2.48-2.53, 2 Ga 2.71
Ga  0.6483  0.1483  0.0000  6 Ni 2.48-2.53, 2 Ga 2.71
Ga  0.8517  0.6483  0.0000  6 Ni 2.48-2.53, 2 Ga 2.71
Ni  0.1483  0.6483  0.5000  6 Ga 2.48-2.53, 2 Ni 2.71, 2 As 2.76
Ni  0.3517  0.1483  0.5000  6 Ga 2.48-2.53, 2 Ni 2.71, 2 As 2.76
Ni  0.6483  0.8517  0.5000  6 Ga 2.48-2.53, 2 Ni 2.71, 2 As 2.76
Ni  0.8517  0.3517  0.5000  6 Ga 2.48-2.53, 2 Ni 2.71, 2 As 2.76
As  0.0000  0.0000  0.5000  2 As 2.71, 4 Ni 2.76
As  0.5000  0.5000  0.5000  2 As 2.71, 4 Ni 2.76

Computed properties:
Symmetry: P4/mbm
Calculated total energy (eV/cell): -46.101
ΔE to the lowest computed polymorph (eV per formula unit): 0.00

---

(5)
A relaxed structure of RbLiH, computed with PBE.

Cell lengths 11.0969, 11.0969, 11.0969 Å; angles 135.83, 57.87, 144.54 degrees
Last column: nearest neighbours and their distance in Å.
Sites, in units of the cell vectors:
Rb  0.0514  0.2500  0.3014  2 H 3.09
Rb  0.4524  0.4082  0.5442  4 H 2.93-2.96
Rb  0.5535  0.9774  0.0761  2 H 2.74-2.96
Rb  0.8640  0.9082  0.4558  4 H 2.93-2.96
Rb  0.9013  0.4774  0.9239  2 H 2.74-2.96
Rb  0.9486  0.7500  0.6986  2 H 3.09
Li  0.0655  0.2834  0.9227  2 H 1.76-1.82
Li  0.0655  0.6427  0.2821  2 H 1.76-1.82
Li  0.3607  0.1427  0.0773  2 H 1.76-1.82
Li  0.3607  0.7834  0.7179  2 H 1.76-1.82
Li  0.4751  0.4751  0.0000  2 Li 3.42
Li  0.4751  0.9751  0.5000  2 Li 3.42
H  0.1051  0.5417  0.0634  2 Li 1.76
H  0.1933  0.0537  0.2278  1 Li 1.82
H  0.1933  0.4655  0.6396  1 Li 1.82
H  0.4783  0.0417  0.9366  2 Li 1.76
H  0.8259  0.5537  0.3604  1 Li 1.82
H  0.8259  0.9655  0.7722  1 Li 1.82

Computed properties:
Symmetry: Ima2
Calculated total energy (eV/cell): -37.787

---

(6)
A relaxed structure of TcAs2SBr, computed with PBE.

Cell lengths 4.8208, 4.8208, 5.0218 Å; angles 90.00, 90.00, 90.00 degrees
Last column: nearest neighbours and their distance in Å.
Sites, in units of the cell vectors:
Tc  0.0000  0.0000  0.0000  4 Br 3.41, 8 As 3.48
As  0.0000  0.5000  0.5000  2 S 2.41
As  0.5000  0.0000  0.5000  2 S 2.41
S  0.5000  0.5000  0.5000  4 As 2.41, 2 Br 2.51
Br  0.5000  0.5000  0.0000  2 S 2.51

Computed properties:
Symmetry: P4/mmm
Calculated total energy (eV/cell): -19.318
Energy relative to the elements, uncorrected (eV/atom): 1.229
ΔE to the lowest computed polymorph (eV per formula unit): 3.08